No. 1
A plane-wave DFT calculation with PBE was carried out for an optimized crystal structure of MnTc3Au.

a b c (Å): 4.400 4.400 4.400
angles (deg): 90.00 90.00 90.00
Sites, in units of the cell vectors:
Mn1 0.000 0.000 0.000
Tc1 0.000 0.000 0.500
Tc2 0.000 0.500 0.000
Tc3 0.500 0.000 0.000
Au1 0.500 0.500 0.500

Calculated values
Magnetization = 0.004 μB/atom
SG = No. 221
Energy of formation from the pure elements = 1.167 eV per atom
E_tot = -37.7 eV per cell
Polymorph energy (0 for the lowest one) = 0.0000 eV/atom


No. 2
A plane-wave DFT calculation with PBE was carried out for an optimized crystal structure of Er3U2Fe4.

a b c (Å): 5.731 5.731 8.367
angles (deg): 102.10 102.10 40.44
Sites, in units of the cell vectors:
Er1 0.000 0.000 0.000
Er2 0.376 0.376 0.621
Er3 0.624 0.624 0.379
U1 0.323 0.323 0.221
U2 0.677 0.677 0.779
Fe1 0.093 0.093 0.645
Fe2 0.268 0.268 0.909
Fe3 0.732 0.732 0.091
Fe4 0.907 0.907 0.355

Calculated values
Magnetization = 0.000 μB/atom
SG = No. 12
Energy of formation from the pure elements = -0.194 eV per atom
E_tot = -71.9 eV per cell


No. 3
A plane-wave DFT calculation with PBE was carried out for an optimized crystal structure of Rb2TcI6O.

a b c (Å): 7.973 7.973 7.973
angles (deg): 113.10 113.10 102.43
Sites, in units of the cell vectors:
Rb1 0.250 0.750 0.500
Rb2 0.750 0.250 0.500
Tc1 0.000 0.000 0.000
I1 0.222 0.222 0.443
I2 0.222 0.778 0.000
I3 0.283 0.283 0.000
I4 0.717 0.717 0.000
I5 0.778 0.222 0.000
I6 0.778 0.778 0.557
O1 0.500 0.500 0.000

Calculated values
Uncorrected formation energy = -0.474 eV/atom
Magnetization = 0.300 μB/atom
SG = No. 139
E_tot = -31.3 eV per cell